VASP calculation (PBE) on a relaxed RuPtW2 crystal.

Properties
Total moment   0.000 μB/f.u.
Distance to the lowest polymorph of the same formula   181.5 meV per atom
Formation enthalpy at 0 K   10 meV per atom

a b c (Å): 4.8166 2.7998 4.8420
angles (deg): 90.00 109.47 90.00
Last column: nearest neighbours and their distance in Å.
Space group P2/m (No. 10)
Unique sites:
Ru: 0.0000 0.0000 0.0000 x1  4 Pt 2.79, 6 W 2.79-2.80, 2 Ru 2.80
Pt: 0.5000 0.5000 0.0000 x1  4 Ru 2.79, 6 W 2.79-2.80, 2 Pt 2.80
W: 0.0000 0.5000 0.5000 x1  6 W 2.79-2.80, 2 Pt 2.79, 4 Ru 2.80
W: 0.5000 0.0000 0.5000 x1  6 W 2.79-2.80, 2 Ru 2.79, 4 Pt 2.80

---

VASP calculation (PBE) on a relaxed CeNp5Se8 crystal.

Properties
Raw formation energy   -1.2891 eV per atom
Total moment   23.003 μB/f.u.

a b c (Å): 8.7446 8.7446 8.7356
angles (deg): 90.00 90.00 90.00
Last column: nearest neighbours and their distance in Å.
Space group I-4 (No. 82)
Unique sites:
Ce: 0.0000 0.0000 0.0000 x2  8 Se 2.98-3.13
Np: 0.0000 0.5000 0.7500 x2  8 Se 2.95-3.10
Np: 0.1259 0.2505 0.3745 x8  8 Se 2.93-3.12
Se: 0.0751 0.1759 0.6975 x8  5 Np 2.93-3.12, 1 Ce 3.13
Se: 0.0765 0.3283 0.0502 x8  5 Np 2.94-3.10, 1 Ce 2.98, 1 Se 3.29

---

VASP calculation (PBE) on a relaxed La2NiTe crystal.

Properties
Raw formation energy   -0.8696 eV per atom
Total moment   0.000 μB/f.u.

a b c (Å): 4.2303 4.2303 23.1469
angles (deg): 90.00 90.00 120.00
Last column: nearest neighbours and their distance in Å.
Space group R-3m (No. 166, hexagonal axes)
Unique sites:
La: 0.0000 0.0000 0.2370 x6  3 Ni 2.94
Ni: 0.0000 0.0000 0.5000 x3  6 La 2.94
Te: 0.0000 0.0000 0.0000 x3  6 La 3.31

---

no.,final energy (eV/atom),density of states at the Fermi level (states/eV/atom)
1,-10.2959,0.862
2,-8.3258,3.724
3,-5.5641,0.538